# 1
An optimized crystal structure of Tb3NdDy. Source: the Alexandria database, functional PBE.

Lattice parameters (Å, degrees): 11.314 5.062 11.333 90.00 90.12 90.00
Space group C2/m (No. 12)
Inequivalent atoms, fractional coordinates:
Tb (0.049, 0.000, 0.153) (multiplicity 4)
Tb (0.051, 0.500, 0.648) (multiplicity 4)
Tb (0.248, 0.500, 0.254) (multiplicity 4)
Nd (0.150, 0.500, 0.949) (multiplicity 4)
Dy (0.150, 0.000, 0.451) (multiplicity 4)

Results
* relative energy among the computed polymorphs: 0 meV/atom
* DFT formation energy: 0.0165 eV/atom
* total energy: -4.636 eV per atom
* DOS at the Fermi energy: 27.20 states/eV per cell
* magnetic moment: 0.0 μB/cell

# 2
An optimized crystal structure of Tb6Nd3Dy2. Source: the Alexandria database, functional PBE.

Lattice parameters (Å, degrees): 4.775 4.775 33.355 90.00 90.00 90.00
Space group I4/mmm (No. 139)
Inequivalent atoms, fractional coordinates:
Tb (0.000, 0.000, 0.194) (multiplicity 4)
Tb (0.000, 0.500, 0.120) (multiplicity 8)
Nd (0.000, 0.000, 0.297) (multiplicity 4)
Nd (0.000, 0.000, 0.500) (multiplicity 2)
Dy (0.000, 0.000, 0.046) (multiplicity 4)

Results
* relative energy among the computed polymorphs: 256 meV/atom
* DFT formation energy: 0.2710 eV/atom
* total energy: -4.392 eV per atom
* DOS at the Fermi energy: 32.06 states/eV per cell
* magnetic moment: 0.0 μB/cell

# 3
An optimized crystal structure of TbNd4Dy4. Source: the Alexandria database, functional PBE.

Lattice parameters (Å, degrees): 10.824 10.824 5.089 90.00 90.00 90.00
Space group I4/mmm (No. 139)
Inequivalent atoms, fractional coordinates:
Tb (0.000, 0.000, 0.000) (multiplicity 2)
Nd (0.167, 0.167, 0.500) (multiplicity 8)
Dy (0.000, 0.335, 0.000) (multiplicity 8)

Results
* relative energy among the computed polymorphs: 0 meV/atom
* DFT formation energy: 0.0171 eV/atom
* total energy: -4.662 eV per atom
* DOS at the Fermi energy: 26.75 states/eV per cell
* magnetic moment: 0.0 μB/cell

# 4
An optimized crystal structure of TbNd3Dy. Source: the Alexandria database, functional PBE.

Lattice parameters (Å, degrees): 3.632 8.118 12.004 78.33 89.98 77.13
Space group P-1 (No. 2)
Inequivalent atoms, fractional coordinates:
Tb (0.052, 0.399, 0.149) (multiplicity 2)
Nd (0.151, 0.198, 0.449) (multiplicity 2)
Nd (0.350, 0.800, 0.050) (multiplicity 2)
Nd (0.451, 0.601, 0.348) (multiplicity 2)
Dy (0.250, 0.997, 0.752) (multiplicity 2)

Results
* relative energy among the computed polymorphs: 0 meV/atom
* DFT formation energy: 0.0128 eV/atom
* total energy: -4.694 eV per atom
* DOS at the Fermi energy: 12.80 states/eV per cell
* magnetic moment: 0.0 μB/cell